*i*
Crystalline Li2CoP4O12 at its relaxed geometry, computed with PBEsol.

Cell lengths 9.1817, 14.1408, 7.5591 Å; angles 90.00, 103.53, 90.00 degrees
Space group C2/c (No. 15)
Inequivalent atoms, fractional coordinates:
Li: 0.1666 0.1488 0.2518 [8 per cell]
Co: 0.0000 0.3712 0.7500 [4 per cell]
P: 0.0977 0.1744 0.6211 [8 per cell]
P: 0.1363 0.4287 0.1726 [8 per cell]
O: 0.0000 0.1301 0.7500 [4 per cell]
O: 0.0000 0.3910 0.2500 [4 per cell]
O: 0.0214 0.1606 0.4260 [8 per cell]
O: 0.1398 0.4648 0.6669 [8 per cell]
O: 0.1449 0.3727 0.0074 [8 per cell]
O: 0.1506 0.2719 0.6879 [8 per cell]
O: 0.2320 0.1010 0.6572 [8 per cell]

- Density of states at the Fermi level: 9.4 states/eV/cell
- Magnetization: 12.00 μB per cell

*ii*
Crystalline Li2CoP4O12 at its relaxed geometry, computed with PBEsol.

Cell lengths 5.1746, 6.9727, 7.0843 Å; angles 107.75, 94.68, 107.56 degrees
Space group P-1 (No. 2)
Inequivalent atoms, fractional coordinates:
Li: 0.1589 0.2230 0.0655 [2 per cell]
Co: 0.5000 0.5000 0.5000 [1 per cell]
P: 0.1652 0.7075 0.2924 [2 per cell]
P: 0.3627 0.9206 0.7297 [2 per cell]
O: 0.0854 0.3215 0.8439 [2 per cell]
O: 0.1607 0.8526 0.5172 [2 per cell]
O: 0.1972 0.9397 0.8914 [2 per cell]
O: 0.2184 0.5083 0.3063 [2 per cell]
O: 0.4435 0.8429 0.2420 [2 per cell]
O: 0.4689 0.2274 0.2960 [2 per cell]

- Density of states at the Fermi level: 0.2 states/eV/cell
- Magnetization: 3.00 μB per cell

*iii*
Crystalline Li2CoP4O12 at its relaxed geometry, computed with PBEsol.

Cell lengths 7.3728, 8.8502, 8.5062 Å; angles 90.00, 123.41, 90.00 degrees
Space group P2_1/c (No. 14)
Inequivalent atoms, fractional coordinates:
Li: 0.1785 0.1618 0.2978 [4 per cell]
Co: 0.0000 0.0000 0.5000 [2 per cell]
P: 0.2381 0.6966 0.3998 [4 per cell]
P: 0.4846 0.5904 0.7936 [4 per cell]
O: 0.0959 0.6997 0.9261 [4 per cell]
O: 0.1105 0.5668 0.2702 [4 per cell]
O: 0.2756 0.1147 0.5646 [4 per cell]
O: 0.3610 0.7259 0.8179 [4 per cell]
O: 0.3832 0.0574 0.2811 [4 per cell]
O: 0.4434 0.6346 0.5930 [4 per cell]

- Density of states at the Fermi level: 5.7 states/eV/cell
- Magnetization: 6.00 μB per cell

So which one is most stable? That would be *i*, about 12 meV/atom below the next structure.

*i*
Crystalline Li2CoSnP2O8 at its relaxed geometry, computed with PBEsol.

Cell lengths 9.6932, 5.8190, 11.7662 Å; angles 90.00, 100.27, 90.00 degrees
Space group P2_1 (No. 4)
Inequivalent atoms, fractional coordinates:
Li: 0.0057 0.0000 0.4826 [2 per cell]
Li: 0.2480 0.9721 0.0013 [2 per cell]
Li: 0.2513 0.4730 0.9992 [2 per cell]
Li: 0.4944 0.9486 0.5174 [2 per cell]
Co: 0.0226 0.2130 0.1873 [2 per cell]
Co: 0.4773 0.7370 0.8129 [2 per cell]
Sn: 0.2211 0.2054 0.7180 [2 per cell]
Sn: 0.2791 0.7436 0.2824 [2 per cell]
P: 0.0285 0.2161 0.9205 [2 per cell]
P: 0.2052 0.2329 0.3967 [2 per cell]
P: 0.2947 0.7159 0.6035 [2 per cell]
P: 0.4713 0.7347 0.0796 [2 per cell]
O: 0.0815 0.9953 0.8653 [2 per cell]
O: 0.0848 0.4285 0.8607 [2 per cell]
O: 0.1140 0.2198 0.0459 [2 per cell]
O: 0.1193 0.0232 0.3311 [2 per cell]
O: 0.1317 0.7224 0.0901 [2 per cell]
O: 0.1377 0.7605 0.5811 [2 per cell]
O: 0.1443 0.2734 0.5072 [2 per cell]
O: 0.1588 0.4290 0.3056 [2 per cell]
O: 0.3411 0.5199 0.6946 [2 per cell]
O: 0.3556 0.6753 0.4930 [2 per cell]
O: 0.3623 0.1883 0.4191 [2 per cell]
O: 0.3684 0.2294 0.9099 [2 per cell]
O: 0.3808 0.9255 0.6690 [2 per cell]
O: 0.3858 0.7308 0.9541 [2 per cell]
O: 0.4155 0.5219 0.1392 [2 per cell]
O: 0.4179 0.9551 0.1349 [2 per cell]

- Density of states at the Fermi level: 11.5 states/eV/cell
- Magnetization: 12.00 μB per cell

*ii*
Crystalline Li2CoSnP2O8 at its relaxed geometry, computed with PBEsol.

Cell lengths 4.7556, 6.1001, 11.2188 Å; angles 89.75, 89.54, 88.57 degrees
Space group P-1 (No. 2)
Inequivalent atoms, fractional coordinates:
Li: 0.0000 0.0000 0.0000 [1 per cell]
Li: 0.0000 0.5000 0.0000 [1 per cell]
Li: 0.5000 0.0000 0.5000 [1 per cell]
Li: 0.5000 0.5000 0.5000 [1 per cell]
Co: 0.0694 0.2516 0.7038 [2 per cell]
Sn: 0.4932 0.2463 0.2246 [2 per cell]
P: 0.0771 0.7498 0.5746 [2 per cell]
P: 0.3484 0.7535 0.1261 [2 per cell]
O: 0.1869 0.9601 0.1780 [2 per cell]
O: 0.1926 0.7416 0.4457 [2 per cell]
O: 0.2101 0.9564 0.6337 [2 per cell]
O: 0.2136 0.5582 0.1969 [2 per cell]
O: 0.2196 0.5467 0.6401 [2 per cell]
O: 0.2455 0.2459 0.4128 [2 per cell]
O: 0.2559 0.7357 0.9950 [2 per cell]
O: 0.3321 0.2410 0.8581 [2 per cell]

- Density of states at the Fermi level: 4.1 states/eV/cell
- Magnetization: 6.00 μB per cell

So which one is most stable? That would be *i*, about 11 meV/atom below the next structure.

*i*
Crystalline Li2CoSnP2O8 at its relaxed geometry, computed with PBEsol.

Cell lengths 4.7503, 6.0726, 23.2937 Å; angles 90.00, 92.19, 90.00 degrees
Space group P2_1/c (No. 14)
Inequivalent atoms, fractional coordinates:
Li: 0.0000 0.0000 0.0000 [2 per cell]
Li: 0.0000 0.0000 0.5000 [2 per cell]
Li: 0.3814 0.0602 0.2772 [4 per cell]
Co: 0.4129 0.2482 0.9021 [4 per cell]
Sn: 0.0347 0.2487 0.1352 [4 per cell]
P: 0.1841 0.7481 0.6781 [4 per cell]
P: 0.4139 0.7481 0.9615 [4 per cell]
O: 0.1376 0.2263 0.3286 [4 per cell]
O: 0.2620 0.5487 0.4315 [4 per cell]
O: 0.2644 0.5429 0.9324 [4 per cell]
O: 0.2648 0.2457 0.5459 [4 per cell]
O: 0.2881 0.5636 0.6366 [4 per cell]
O: 0.2932 0.7100 0.7398 [4 per cell]
O: 0.3207 0.7487 0.5240 [4 per cell]
O: 0.3415 0.5432 0.1545 [4 per cell]

- Density of states at the Fermi level: 5.6 states/eV/cell
- Magnetization: 12.00 μB per cell

*ii*
Crystalline Li2CoSnP2O8 at its relaxed geometry, computed with PBEsol.

Cell lengths 4.8510, 5.7765, 11.9298 Å; angles 90.00, 101.01, 90.00 degrees
Space group P2_1/m (No. 11)
Inequivalent atoms, fractional coordinates:
Li: 0.0000 0.0000 0.0000 [2 per cell]
Li: 0.5000 0.0000 0.5000 [2 per cell]
Co: 0.0500 0.2500 0.6851 [2 per cell]
Sn: 0.4352 0.2500 0.2186 [2 per cell]
P: 0.0563 0.2500 0.4204 [2 per cell]
P: 0.4141 0.2500 0.8939 [2 per cell]
O: 0.1682 0.0313 0.3657 [4 per cell]
O: 0.2245 0.2500 0.5456 [2 per cell]
O: 0.2658 0.7500 0.5939 [2 per cell]
O: 0.2666 0.7500 0.0843 [2 per cell]
O: 0.2814 0.0403 0.8160 [4 per cell]
O: 0.2924 0.2500 0.0038 [2 per cell]

- Density of states at the Fermi level: 10.7 states/eV/cell
- Magnetization: 6.00 μB per cell

So which one is most stable? That would be *i*, about 8 meV/atom below the next structure.

*i*
Crystalline Li2Co3SbO8 at its relaxed geometry, computed with PBEsol.

Cell lengths 5.6909, 5.6909, 9.2964 Å; angles 90.00, 90.00, 120.00 degrees
Space group P6_3mc (No. 186)
Inequivalent atoms, fractional coordinates:
Li: 0.0000 0.0000 0.0000 [2 per cell]
Li: 0.3333 0.6667 0.0946 [2 per cell]
Co: 0.1698 0.3395 0.7789 [6 per cell]
Sb: 0.3333 0.6667 0.5029 [2 per cell]
O: 0.0000 0.0000 0.1879 [2 per cell]
O: 0.0331 0.5166 0.6618 [6 per cell]
O: 0.1588 0.3176 0.3941 [6 per cell]
O: 0.3333 0.6667 0.8806 [2 per cell]

- Magnetization: 0.00 μB per cell

*ii*
Crystalline Li2Co3SbO8 at its relaxed geometry, computed with PBEsol.

Cell lengths 8.1518, 8.1518, 8.1518 Å; angles 90.00, 90.00, 90.00 degrees
Space group P4_332 (No. 212)
Inequivalent atoms, fractional coordinates:
Li: 0.0047 0.4953 0.5047 [8 per cell]
Co: 0.1176 0.1324 0.6250 [12 per cell]
Sb: 0.1250 0.8750 0.3750 [4 per cell]
O: 0.1047 0.1224 0.3908 [24 per cell]
O: 0.1114 0.6114 0.8886 [8 per cell]

- Magnetization: 0.00 μB per cell

*iii*
Crystalline Li2Co3SbO8 at its relaxed geometry, computed with PBEsol.

Cell lengths 5.7108, 5.7108, 14.4210 Å; angles 90.00, 90.00, 120.00 degrees
Space group R-3m (No. 166, hexagonal axes)
Inequivalent atoms, fractional coordinates:
Li: 0.0000 0.0000 0.1253 [6 per cell]
Co: 0.0000 0.5000 0.0000 [9 per cell]
Sb: 0.0000 0.0000 0.5000 [3 per cell]
O: 0.0000 0.0000 0.2670 [6 per cell]
O: 0.0268 0.5134 0.2589 [18 per cell]

- Magnetization: 0.00 μB per cell

So which one is most stable? That would be *ii*, about 12 meV/atom below the next structure.